No. 1
The following is a DFT calculation (PBEsol) of BiPSeS2 after structural relaxation.

Size of the total moment: 0.0 μB/f.u.
D(E_F): 3.0 states/eV per cell
Volume: 21.2 Å³ per atom
Raw total energy: -20.30 eV/cell

Structure (CIF):
```
data_BiPSeS2
_chemical_formula_sum 'Bi1 P1 Se1 S2'
_cell_length_a 4.7226
_cell_length_b 4.7226
_cell_length_c 4.7627
_cell_angle_alpha 90.00
_cell_angle_beta 90.00
_cell_angle_gamma 90.00
_space_group_name_H-M_alt 'P 1'
_space_group_IT_number 1
loop_
_space_group_symop_operation_xyz
'x,y,z'
loop_
_atom_site_label
_atom_site_type_symbol
_atom_site_fract_x
_atom_site_fract_y
_atom_site_fract_z
Bi1 Bi 0.5000 0.5000 0.5000
P1 P 0.0000 0.0000 0.5000
S1 S 0.0000 0.5000 0.0000
S2 S 0.5000 0.0000 0.0000
Se1 Se 0.0000 0.0000 0.0000
```


No. 2
The following is a DFT calculation (PBEsol) of CoSnSbI2 after structural relaxation.

Size of the total moment: 2.0 μB/f.u.
D(E_F): 7.6 states/eV per cell
Volume: 38.7 Å³ per atom
Raw total energy: -14.44 eV/cell

Structure (CIF):
```
data_CoSnSbI2
_chemical_formula_sum 'Co1 Sn1 Sb1 I2'
_cell_length_a 5.7821
_cell_length_b 5.7821
_cell_length_c 5.7814
_cell_angle_alpha 90.00
_cell_angle_beta 90.00
_cell_angle_gamma 90.00
_space_group_name_H-M_alt 'P 1'
_space_group_IT_number 1
loop_
_space_group_symop_operation_xyz
'x,y,z'
loop_
_atom_site_label
_atom_site_type_symbol
_atom_site_fract_x
_atom_site_fract_y
_atom_site_fract_z
Sb1 Sb 0.0000 0.0000 0.5000
I1 I 0.5000 0.0000 0.0000
I2 I 0.0000 0.5000 0.0000
Sn1 Sn 0.0000 0.0000 0.0000
Co1 Co 0.5000 0.5000 0.5000
```


No. 3
The following is a DFT calculation (PBEsol) of Cr3Os after structural relaxation.

Size of the total moment: 0.0 μB/f.u.
D(E_F): 10.8 states/eV per cell
Energy of formation: 0.024 eV/atom
Volume: 12.1 Å³ per atom

Structure (CIF):
```
data_Cr3Os
_chemical_formula_sum 'Cr6 Os2'
_cell_length_a 4.5919
_cell_length_b 4.5919
_cell_length_c 4.5919
_cell_angle_alpha 90.00
_cell_angle_beta 90.00
_cell_angle_gamma 90.00
_space_group_name_H-M_alt 'P 1'
_space_group_IT_number 1
loop_
_space_group_symop_operation_xyz
'x,y,z'
loop_
_atom_site_label
_atom_site_type_symbol
_atom_site_fract_x
_atom_site_fract_y
_atom_site_fract_z
Cr1 Cr 0.0000 0.7500 0.5000
Cr2 Cr 0.2500 0.5000 0.0000
Cr3 Cr 0.7500 0.5000 0.0000
Cr4 Cr 0.5000 0.0000 0.7500
Cr5 Cr 0.5000 0.0000 0.2500
Cr6 Cr 0.0000 0.2500 0.5000
Os1 Os 0.0000 0.0000 0.0000
Os2 Os 0.5000 0.5000 0.5000
```